HgTe2Rh: optimized geometry, GGA-PBE.

Geometry as CIF:
```
data_HgTe2Rh
_chemical_formula_sum 'Hg2 Te4 Rh2'
_cell_length_a 4.580
_cell_length_b 4.591
_cell_length_c 9.571
_cell_angle_alpha 90.00
_cell_angle_beta 90.00
_cell_angle_gamma 90.00
_space_group_name_H-M_alt 'C m m m'
_space_group_IT_number 65
_space_group_name_Hall '-C 2 2'
loop_
_atom_site_label
_atom_site_type_symbol
_atom_site_fract_x
_atom_site_fract_y
_atom_site_fract_z
_atom_site_occupancy
Hg1 Hg 0.000 0.000 0.000 1
Te1 Te 0.000 0.500 0.321 1
Rh1 Rh 0.000 0.000 0.500 1
```

Density: 9.2 Mg/m³
ΔE to the lowest computed polymorph: 0.2470 eV per atom
Fermi-level density of states: 0.57 states/eV per atom
Magnetization: 0.00 μB/atom
ΔE_f (raw): -0.026 eV per atom

NpTc2As2: optimized geometry, GGA-PBE.

Geometry as CIF:
```
data_NpTc2As2
_chemical_formula_sum 'Np4 Tc8 As8'
_cell_length_a 3.955
_cell_length_b 22.944
_cell_length_c 4.027
_cell_angle_alpha 90.00
_cell_angle_beta 90.00
_cell_angle_gamma 90.00
_space_group_name_H-M_alt 'C m c m'
_space_group_IT_number 63
_space_group_name_Hall '-C 2c 2'
loop_
_atom_site_label
_atom_site_type_symbol
_atom_site_fract_x
_atom_site_fract_y
_atom_site_fract_z
_atom_site_occupancy
Np1 Np 0.000 0.151 0.250 1
Tc1 Tc 0.000 0.035 0.750 1
Tc2 Tc 0.000 0.460 0.750 1
As1 As 0.000 0.250 0.750 1
As2 As 0.000 0.390 0.250 1
```

Density: 10.6 Mg/m³
Fermi-level density of states: 2.04 states/eV per atom
Energy relative to the elements: -0.40 eV/atom
Magnetization: 0.66 μB/atom

TaAlTe2: optimized geometry, GGA-PBE.

Geometry as CIF:
```
data_TaAlTe2
_chemical_formula_sum 'Ta1 Al1 Te2'
_cell_length_a 3.486
_cell_length_b 3.486
_cell_length_c 7.915
_cell_angle_alpha 90.00
_cell_angle_beta 90.00
_cell_angle_gamma 90.00
_space_group_name_H-M_alt 'P 4 m m'
_space_group_IT_number 99
loop_
_space_group_symop_operation_xyz
'x,y,z'
'-y,x,z'
'-x,-y,z'
'y,-x,z'
'-x,y,z'
'y,x,z'
'x,-y,z'
'-y,-x,z'
loop_
_atom_site_label
_atom_site_type_symbol
_atom_site_fract_x
_atom_site_fract_y
_atom_site_fract_z
_atom_site_occupancy
Ta1 Ta 0.000 0.000 0.000 1
Al1 Al 0.500 0.500 0.819 1
Te1 Te 0.000 0.000 0.629 1
Te2 Te 0.500 0.500 0.201 1
```

Density: 8.0 Mg/m³
Fermi-level density of states: 0.47 states/eV per atom
Magnetization: 0.00 μB/atom
ΔE_f (raw): -0.106 eV per atom

KSiTc2: optimized geometry, GGA-PBE.

Geometry as CIF:
```
data_KSiTc2
_chemical_formula_sum 'K1 Si1 Tc2'
_cell_length_a 4.461
_cell_length_b 4.461
_cell_length_c 3.415
_cell_angle_alpha 90.00
_cell_angle_beta 90.00
_cell_angle_gamma 90.00
_space_group_name_H-M_alt 'P 4/m m m'
_space_group_IT_number 123
_space_group_name_Hall '-P 4 2'
loop_
_atom_site_label
_atom_site_type_symbol
_atom_site_fract_x
_atom_site_fract_y
_atom_site_fract_z
_atom_site_occupancy
K1 K 0.000 0.000 0.000 1
Si1 Si 0.500 0.500 0.000 1
Tc1 Tc 0.000 0.500 0.500 1
```

Density: 6.4 Mg/m³
Fermi-level density of states: 0.87 states/eV per atom
Magnetization: 0.91 μB/atom
ΔE_f (raw): 1.347 eV per atom

SrTl2Tc: optimized geometry, GGA-PBE.

Geometry as CIF:
```
data_SrTl2Tc
_chemical_formula_sum 'Sr2 Tl4 Tc2'
_cell_length_a 6.537
_cell_length_b 9.051
_cell_length_c 3.417
_cell_angle_alpha 90.00
_cell_angle_beta 90.13
_cell_angle_gamma 90.00
_space_group_name_H-M_alt 'C 1 2/m 1'
_space_group_IT_number 12
loop_
_space_group_symop_operation_xyz
'x,y,z'
'-x,-y,-z'
'-x,y,-z'
'x,-y,z'
'x+1/2,y+1/2,z'
'-x+1/2,-y+1/2,-z'
'-x+1/2,y+1/2,-z'
'x+1/2,-y+1/2,z'
loop_
_atom_site_label
_atom_site_type_symbol
_atom_site_fract_x
_atom_site_fract_y
_atom_site_fract_z
_atom_site_occupancy
Sr1 Sr 0.000 0.000 0.000 1
Tl1 Tl 0.250 0.250 0.500 1
Tc1 Tc 0.000 0.500 0.000 1
```

Density: 9.8 Mg/m³
ΔE to the lowest computed polymorph: 0.2553 eV per atom
Fermi-level density of states: 0.64 states/eV per atom
Energy relative to the elements: 0.58 eV/atom
Magnetization: 0.49 μB/atom

Nb2CdBi: optimized geometry, GGA-PBE.

Geometry as CIF:
```
data_Nb2CdBi
_chemical_formula_sum 'Nb8 Cd4 Bi4'
_cell_length_a 6.898
_cell_length_b 6.898
_cell_length_c 6.898
_cell_angle_alpha 90.00
_cell_angle_beta 90.00
_cell_angle_gamma 90.00
_space_group_name_H-M_alt 'F m -3 m'
_space_group_IT_number 225
_space_group_name_Hall '-F 4 2 3'
loop_
_atom_site_label
_atom_site_type_symbol
_atom_site_fract_x
_atom_site_fract_y
_atom_site_fract_z
_atom_site_occupancy
Nb1 Nb 0.250 0.250 0.250 1
Cd1 Cd 0.000 0.000 0.000 1
Bi1 Bi 0.000 0.000 0.500 1
```

Density: 10.3 Mg/m³
ΔE to the lowest computed polymorph: 0.0000 eV per atom
Fermi-level density of states: 2.06 states/eV per atom
Energy relative to the elements: 0.47 eV/atom
Magnetization: 0.00 μB/atom

LaCuSb2I: optimized geometry, GGA-PBE.

Geometry as CIF:
```
data_LaCuSb2I
_chemical_formula_sum 'La1 Cu1 Sb2 I1'
_cell_length_a 5.014
_cell_length_b 5.014
_cell_length_c 5.854
_cell_angle_alpha 90.00
_cell_angle_beta 90.00
_cell_angle_gamma 90.00
_space_group_name_H-M_alt 'P 4/m m m'
_space_group_IT_number 123
_space_group_name_Hall '-P 4 2'
loop_
_atom_site_label
_atom_site_type_symbol
_atom_site_fract_x
_atom_site_fract_y
_atom_site_fract_z
_atom_site_occupancy
La1 La 0.000 0.000 0.000 1
Cu1 Cu 0.500 0.500 0.500 1
Sb1 Sb 0.000 0.500 0.500 1
I1 I 0.500 0.500 0.000 1
```

Density: 6.5 Mg/m³
Fermi-level density of states: 0.64 states/eV per atom
Magnetization: 0.00 μB/atom
ΔE_f (raw): -0.240 eV per atom

Ni3Pt6Rh: optimized geometry, GGA-PBE.

Geometry as CIF:
```
data_Ni3Pt6Rh
_chemical_formula_sum 'Ni6 Pt12 Rh2'
_cell_length_a 7.192
_cell_length_b 4.498
_cell_length_c 9.408
_cell_angle_alpha 90.00
_cell_angle_beta 109.50
_cell_angle_gamma 90.00
_space_group_name_H-M_alt 'P 1 21/m 1'
_space_group_IT_number 11
loop_
_space_group_symop_operation_xyz
'x,y,z'
'-x,-y,-z'
'-x,y+1/2,-z'
'x,-y+1/2,z'
loop_
_atom_site_label
_atom_site_type_symbol
_atom_site_fract_x
_atom_site_fract_y
_atom_site_fract_z
_atom_site_occupancy
Ni1 Ni 0.100 0.250 0.231 1
Ni2 Ni 0.293 0.250 0.034 1
Ni3 Ni 0.300 0.750 0.368 1
Pt1 Pt 0.091 0.250 0.732 1
Pt2 Pt 0.101 0.750 0.069 1
Pt3 Pt 0.296 0.250 0.528 1
Pt4 Pt 0.299 0.750 0.869 1
Pt5 Pt 0.489 0.250 0.330 1
Pt6 Pt 0.499 0.750 0.166 1
Rh1 Rh 0.103 0.750 0.569 1
```

Density: 16.8 Mg/m³
ΔE to the lowest computed polymorph: 0.0000 eV per atom
Fermi-level density of states: 1.88 states/eV per atom
Energy relative to the elements: -0.02 eV/atom
Magnetization: 0.44 μB/atom